1:
Entry from Alexandria: a geometry-optimized Cd2FeTc2 structure (GGA-PBE).

The structure belongs to space group P4/mbm (No. 127); the cell edges are 8.0369, 8.0369 and 2.8536 Å and the angles 90.00°, 90.00° and 90.00°. The inequivalent atoms are Cd at (0.1912, 0.3088, 0.0000), Fe at (0.0000, 0.0000, 0.0000) and Tc at (0.1008, 0.6008, 0.5000).

***

2:
Entry from Alexandria: a geometry-optimized Cd2FeTc2 structure (GGA-PBE).

The structure belongs to space group I4/mmm (No. 139); the cell edges are 3.4866, 3.4866 and 15.1071 Å and the angles 90.00°, 90.00° and 90.00°. The inequivalent atoms are Cd at (0.0000, 0.0000, 0.0950), Fe at (0.0000, 0.0000, 0.5000) and Tc at (0.0000, 0.5000, 0.2500).

***

The structure with the most favorable energy is 2; the runner-up is 9.2 kJ/mol of atoms above it.

***

1:
Entry from Alexandria: a geometry-optimized CdFeTe structure (GGA-PBE).

The structure belongs to space group P3m1 (No. 156); the cell edges are 4.3380, 4.3380 and 4.1479 Å and the angles 90.00°, 90.00° and 120.00°. The inequivalent atoms are Cd at (0.0000, 0.0000, 0.0000), Fe at (0.3333, 0.6667, 0.4152) and Te at (0.6667, 0.3333, 0.5141).

***

2:
Entry from Alexandria: a geometry-optimized CdFeTe structure (GGA-PBE).

The structure belongs to space group P3m1 (No. 156); the cell edges are 3.3801, 3.3801 and 6.4650 Å and the angles 90.00°, 90.00° and 120.00°. The inequivalent atoms are Cd at (0.0000, 0.0000, 0.0000), Fe at (0.6667, 0.3333, 0.3040) and Te at (0.3333, 0.6667, 0.5496).

***

3:
Entry from Alexandria: a geometry-optimized CdFeTe structure (GGA-PBE).

The structure belongs to space group I4mm (No. 107); the cell edges are 3.1192, 3.1192 and 12.9388 Å and the angles 90.00°, 90.00° and 90.00°. The inequivalent atoms are Cd at (0.0000, 0.0000, 0.0000), Fe at (0.0000, 0.0000, 0.3592) and Te at (0.0000, 0.0000, 0.7539).

***

The structure with the most favorable energy is 2; the runner-up is 1.9 kJ/mol of atoms above it.

***

1:
Entry from Alexandria: a geometry-optimized CdFe2Te structure (GGA-PBE).

The structure belongs to space group P2/m (No. 10); the cell edges are 3.1112, 3.9524 and 6.1721 Å and the angles 90.00°, 90.15° and 90.00°. The inequivalent atoms are Cd at (0.0000, 0.0000, 0.0000), Fe at (0.4973, 0.5000, 0.8033) and Te at (0.5000, 0.0000, 0.5000).

***

2:
Entry from Alexandria: a geometry-optimized CdFe2Te structure (GGA-PBE).

The structure belongs to space group C2/m (No. 12); the cell edges are 9.0020, 3.1904 and 7.2192 Å and the angles 90.00°, 123.79° and 90.00°. The inequivalent atoms are Cd at (0.0000, 0.0000, 0.0000), Fe at (0.2178, 0.5000, 0.3612) and Te at (0.0000, 0.5000, 0.5000).

***

3:
Entry from Alexandria: a geometry-optimized CdFe2Te structure (GGA-PBE).

The structure belongs to space group C2/m (No. 12); the cell edges are 6.2521, 6.2278 and 3.4500 Å and the angles 90.00°, 90.12° and 90.00°. The inequivalent atoms are Cd at (0.0000, 0.0000, 0.0000), Fe at (0.2500, 0.2500, 0.5000) and Te at (0.0000, 0.5000, 0.0000).

***

4:
Entry from Alexandria: a geometry-optimized CdFe2Te structure (GGA-PBE).

The structure belongs to space group I-42d (No. 122); the cell edges are 6.9633, 6.9633 and 5.8419 Å and the angles 90.00°, 90.00° and 90.00°. The inequivalent atoms are Cd at (0.0000, 0.0000, 0.0000), Fe at (0.2152, 0.7500, 0.6250) and Te at (0.0000, 0.0000, 0.5000).

***

The structure with the most favorable energy is 2; the runner-up is 3.3 kJ/mol of atoms above it.